4
Lattice="4.5890 -1.4074 0.0000 4.5890 1.4074 0.0000 -0.9937 0.0000 4.8659" Properties=species:S:1:pos:R:3 comment="NiAg2Pt, relaxed, DFT PBE" delta_e_f_kcal_per_mol_atoms=2.914 spacegroup="No. 8" n_ef_per_ev_cell=4.516 magmom_total_mub_per_atom=0.184 pbc="T T T"
Ni 0.0000 0.0000 0.0000
Ag 4.1320 0.0000 2.5456
Ag 6.5781 0.0000 1.3631
Pt 1.6348 0.0000 3.9147